No. 1
Material: Ta2TiB
Method: DFT, PBE
State: optimized geometry

Unit cell a=8.2176 b=8.2176 c=8.2176 alpha=21.72 beta=21.72 gamma=21.72
Last column: nearest neighbours and their distance in Å.
Fractional coordinates of all 4 atoms:
Ta 0.1127 0.1127 0.1127  3 B 2.21
Ta 0.8873 0.8873 0.8873  3 B 2.21
Ti 0.0000 0.0000 0.0000  2 Ta 2.71
B 0.5000 0.5000 0.5000  6 Ta 2.21

Output
SG   No. 166
DFT formation energy   0.4 eV/f.u.
Calculated density   10.48 g/cm³
VASP energy   -37.90 eV/cell
Volume   16.7 Å³/atom

No. 2
Material: Ce2Dy2Si4Ni
Method: DFT, PBE
State: optimized geometry

Unit cell a=6.3285 b=6.3285 c=6.3285 alpha=113.89 beta=113.89 gamma=100.95
Last column: nearest neighbours and their distance in Å.
Fractional coordinates of all 9 atoms:
Ce 0.1768 0.1768 0.0000  1 Ni 2.60, 1 Ce 2.85
Ce 0.8232 0.8232 0.0000  1 Ni 2.60, 1 Ce 2.85
Dy 0.2500 0.7500 0.5000  8 Si 3.17, 4 Ce 3.50
Dy 0.7500 0.2500 0.5000  8 Si 3.17, 4 Ce 3.50
Si 0.2691 0.2691 0.5381  1 Ni 2.25
Si 0.2691 0.7309 0.0000  1 Ni 2.25
Si 0.7309 0.2691 0.0000  1 Ni 2.25
Si 0.7309 0.7309 0.4619  1 Ni 2.25
Ni 0.5000 0.5000 0.0000  4 Si 2.25

Output
SG   No. 139
Calculated density   6.72 g/cm³
Formation energy from raw total energies   -387 meV per atom
VASP energy   -52.02 eV/cell
Volume   21.3 Å³/atom

No. 3
Material: Li3TaC
Method: DFT, PBE
State: optimized geometry

Unit cell a=5.1313 b=5.1313 c=5.1313 alpha=90.00 beta=90.00 gamma=90.00
Last column: nearest neighbours and their distance in Å.
Fractional coordinates of all 5 atoms:
Li 0.0000 0.0000 0.5000  2 Ta 2.57
Li 0.0000 0.5000 0.0000  2 Ta 2.57
Li 0.5000 0.0000 0.0000  2 Ta 2.57
Ta 0.0000 0.0000 0.0000  6 Li 2.57
C 0.5000 0.5000 0.5000  12 Li 3.63

Output
SG   No. 221
DFT formation energy   13.6 eV/f.u.
Calculated density   2.63 g/cm³
VASP energy   -13.24 eV/cell
Volume   27.0 Å³/atom

No. 4
Material: Ca2TlHPd
Method: DFT, PBE
State: optimized geometry

Unit cell a=5.2274 b=5.2274 c=3.7674 alpha=90.00 beta=90.00 gamma=90.00
Last column: nearest neighbours and their distance in Å.
Fractional coordinates of all 5 atoms:
Ca 0.0000 0.5000 0.0000  2 H 2.61
Ca 0.5000 0.0000 0.0000  2 H 2.61
Tl 0.0000 0.0000 0.5000  8 Ca 3.22
H 0.5000 0.5000 0.0000  2 Pd 1.88
Pd 0.5000 0.5000 0.5000  2 H 1.88

Output
SG   No. 123
Calculated density   6.32 g/cm³
VASP energy   -17.38 eV/cell
Volume   20.6 Å³/atom

No. 5
Material: Th6Ge2TeP3
Method: DFT, PBE
State: optimized geometry

Unit cell a=9.5163 b=9.5163 c=8.5477 alpha=103.17 beta=103.17 gamma=25.71
Last column: nearest neighbours and their distance in Å.
Fractional coordinates of all 12 atoms:
Th 0.0016 0.0016 0.2243  3 P 2.85-2.93, 1 Ge 3.03, 2 Te 3.17
Th 0.3239 0.3239 0.4170  3 P 2.89-2.98, 2 Ge 3.04, 1 Te 3.18
Th 0.3344 0.3344 0.9119  3 P 2.98-2.99, 3 Ge 3.05
Th 0.6656 0.6656 0.0881  3 P 2.98-2.99, 3 Ge 3.05
Th 0.6761 0.6761 0.5830  3 P 2.89-2.98, 2 Ge 3.04, 1 Te 3.18
Th 0.9984 0.9984 0.7757  3 P 2.85-2.93, 1 Ge 3.03, 2 Te 3.17
Ge 0.1655 0.1655 0.8311  6 Th 3.03-3.05
Ge 0.8345 0.8345 0.1689  6 Th 3.03-3.05
Te 0.5000 0.5000 0.5000  6 Th 3.17-3.18
P 0.1638 0.1638 0.3331  6 Th 2.89-2.98
P 0.5000 0.5000 0.0000  6 Th 2.85-2.99
P 0.8362 0.8362 0.6669  6 Th 2.89-2.98

Output
SG   No. 12
Calculated density   8.94 g/cm³
Formation energy from raw total energies   -1223 meV per atom
VASP energy   -87.80 eV/cell
Volume   27.2 Å³/atom

No. 6
Material: AlSn2Pb
Method: DFT, PBE
State: optimized geometry

Unit cell a=6.9501 b=6.9501 c=6.9501 alpha=37.86 beta=37.86 gamma=37.86
Last column: nearest neighbours and their distance in Å.
Fractional coordinates of all 4 atoms:
Al 0.0000 0.0000 0.0000  6 Sn 2.90-2.92, 1 Pb 3.23
Sn 0.3989 0.3989 0.3989  3 Al 2.90
Sn 0.5979 0.5979 0.5979  3 Al 2.92, 3 Pb 3.23
Pb 0.8327 0.8327 0.8327  6 Sn 3.23-3.25, 1 Al 3.23

Output
SG   No. 160
DFT formation energy   0.5 eV/f.u.
Calculated density   6.90 g/cm³
VASP energy   -14.93 eV/cell
Volume   28.4 Å³/atom

No. 7
Material: KRbAsNCl
Method: DFT, PBE
State: optimized geometry

Unit cell a=4.3253 b=4.3292 c=9.1450 alpha=85.04 beta=85.06 gamma=63.10
Last column: nearest neighbours and their distance in Å.
Fractional coordinates of all 5 atoms:
K 0.0000 0.0000 0.0000  3 N 2.89-3.08, 1 Cl 3.23
Rb 0.2621 0.2603 0.4382  3 Cl 3.20-3.21, 1 As 3.57
As 0.5572 0.5585 0.7239  1 N 1.72
N 0.3449 0.3476 0.8212  1 As 1.72
Cl 0.6327 0.6315 0.2232  3 Rb 3.20-3.21, 3 K 3.23-3.26

Output
SG   No. 1
Calculated density   2.72 g/cm³
Formation energy from raw total energies   -568 meV per atom
VASP energy   -19.73 eV/cell
Volume   30.4 Å³/atom

No. 8
Material: Tl2IrBr5
Method: DFT, PBE
State: optimized geometry

Unit cell a=7.1296 b=7.1296 c=7.7604 alpha=122.04 beta=122.04 gamma=64.86
Last column: nearest neighbours and their distance in Å.
Fractional coordinates of all 8 atoms:
Tl 0.0000 0.0000 0.0000  10 Br 3.45-3.84
Tl 0.5065 0.5065 0.4928  9 Br 3.48-3.77
Ir 0.2620 0.2620 0.7653  5 Br 2.39-2.49
Br 0.0363 0.4951 0.5413  1 Ir 2.49
Br 0.4568 0.9978 0.9544  1 Ir 2.49
Br 0.4951 0.0363 0.5413  1 Ir 2.49
Br 0.5154 0.5154 0.0536  1 Ir 2.39
Br 0.9978 0.4568 0.9544  1 Ir 2.49

Output
SG   No. 8
Calculated density   5.98 g/cm³
Formation energy from raw total energies   -453 meV per atom
VASP energy   -25.58 eV/cell
Volume   34.7 Å³/atom

No. 9
Material: LaMnHg2
Method: DFT, PBE
State: optimized geometry

Unit cell a=3.6290 b=4.9444 c=5.7670 alpha=90.00 beta=90.12 gamma=90.00
Last column: nearest neighbours and their distance in Å.
Fractional coordinates of all 4 atoms:
La 0.0000 0.0000 0.0000  8 Hg 3.32-3.50, 4 Mn 3.43-3.44, 2 La 3.63
Mn 0.5026 0.5000 0.2673  4 Hg 2.77-2.90
Hg 0.4999 0.0000 0.4823  2 Mn 2.77, 2 Hg 2.98
Hg 0.4998 0.5000 0.7697  2 Mn 2.87-2.90, 2 Hg 2.98

Output
SG   No. 6
DFT formation energy   0.0 eV/f.u.
Calculated density   9.55 g/cm³
VASP energy   -14.71 eV/cell
Volume   25.9 Å³/atom

No. 10
Material: BTeC
Method: DFT, PBE
State: optimized geometry

Unit cell a=5.2404 b=7.8794 c=4.6957 alpha=90.00 beta=90.00 gamma=90.00
Last column: nearest neighbours and their distance in Å.
Fractional coordinates of all 12 atoms:
B 0.1250 0.0202 0.0000  3 C 1.57-1.58
B 0.3750 0.0202 0.5000  3 C 1.57-1.58
B 0.6250 0.9798 0.0000  3 C 1.57-1.58
B 0.8750 0.9798 0.5000  3 C 1.57-1.58
Te 0.0102 0.3152 0.3545  1 C 2.21
Te 0.4898 0.3152 0.8545  1 C 2.21
Te 0.5102 0.6848 0.3545  1 C 2.21
Te 0.9898 0.6848 0.8545  1 C 2.21
C 0.1163 0.0441 0.3322  3 B 1.57-1.58
C 0.3837 0.0441 0.8322  3 B 1.57-1.58
C 0.6163 0.9559 0.3322  3 B 1.57-1.58
C 0.8837 0.9559 0.8322  3 B 1.57-1.58

Output
SG   No. 29
Calculated density   5.15 g/cm³
Formation energy from raw total energies   234 meV per atom
VASP energy   -73.36 eV/cell
Volume   16.2 Å³/atom

No. 11
Material: PmIn2Ag
Method: DFT, PBE
State: optimized geometry

Unit cell a=5.1721 b=5.1721 c=5.1721 alpha=60.00 beta=60.00 gamma=60.00
Last column: nearest neighbours and their distance in Å.
Fractional coordinates of all 4 atoms:
Pm 0.0000 0.0000 0.0000  8 In 3.17
In 0.2500 0.2500 0.2500  4 Ag 3.17, 4 Pm 3.17
In 0.7500 0.7500 0.7500  4 Ag 3.17, 4 Pm 3.17
Ag 0.5000 0.5000 0.5000  8 In 3.17

Output
SG   No. 225
DFT formation energy   -1.1 eV/f.u.
Calculated density   8.19 g/cm³
VASP energy   -14.18 eV/cell
Volume   24.5 Å³/atom

No. 12
Material: Cr2GaFeH
Method: DFT, PBE
State: optimized geometry

Unit cell a=3.6576 b=3.6576 c=3.8136 alpha=90.00 beta=90.00 gamma=90.00
Last column: nearest neighbours and their distance in Å.
Fractional coordinates of all 5 atoms:
Cr 0.0000 0.5000 0.0000  2 H 1.83
Cr 0.5000 0.0000 0.0000  2 H 1.83
Ga 0.0000 0.0000 0.5000  4 Fe 2.59, 8 Cr 2.64
Fe 0.5000 0.5000 0.5000  2 H 1.91
H 0.5000 0.5000 0.0000  4 Cr 1.83, 2 Fe 1.91

Output
SG   No. 123
Calculated density   7.50 g/cm³
VASP energy   -33.89 eV/cell
Volume   10.2 Å³/atom